Version A
DFT (GGA-PBE) results for a relaxed Ti3Be crystal.

It has space group Pmm2 (No. 25), with a = 2.655 Å, b = 2.793 Å, c = 8.536 Å, α = 90.00°, β = 90.00° and γ = 90.00°. The inequivalent atoms are Ti at (0.000, 0.000, 0.000), Ti at (0.000, 0.500, 0.313), Ti at (0.500, 0.500, 0.759) and Be at (0.500, 0.000, 0.504).

---

Version B
DFT (GGA-PBE) results for a relaxed Ti3Be crystal.

It has space group Pm-3m (No. 221), with a = 3.907 Å, b = 3.907 Å, c = 3.907 Å, α = 90.00°, β = 90.00° and γ = 90.00°. The inequivalent atoms are Ti at (0.000, 0.000, 0.500) and Be at (0.500, 0.500, 0.500).

---

Winner for stability: version B

---

Version A
DFT (GGA-PBE) results for a relaxed TiBe4 crystal.

It has space group Pm-3m (No. 221), with a = 4.385 Å, b = 4.385 Å, c = 4.385 Å, α = 90.00°, β = 90.00° and γ = 90.00°. The inequivalent atoms are Ti at (0.000, 0.000, 0.000), Be at (0.000, 0.000, 0.500) and Be at (0.500, 0.500, 0.500).

---

Version B
DFT (GGA-PBE) results for a relaxed TiBe4 crystal.

It has space group I-43m (No. 217), with a = 7.368 Å, b = 7.368 Å, c = 7.368 Å, α = 90.00°, β = 90.00° and γ = 90.00°. The inequivalent atoms are Ti at (0.221, 0.221, 0.221), Be at (0.000, 0.000, 0.352), Be at (0.000, 0.250, 0.500) and Be at (0.098, 0.098, 0.902).

---

Winner for stability: version B

---

Version A
DFT (GGA-PBE) results for a relaxed TiBe12 crystal.

It has space group I4/mmm (No. 139), with a = 7.312 Å, b = 7.312 Å, c = 4.167 Å, α = 90.00°, β = 90.00° and γ = 90.00°. The inequivalent atoms are Ti at (0.000, 0.000, 0.000), Be at (0.000, 0.217, 0.500), Be at (0.000, 0.352, 0.000) and Be at (0.250, 0.250, 0.250).

---

Version B
DFT (GGA-PBE) results for a relaxed TiBe12 crystal.

It has space group P6/mmm (No. 191), with a = 4.2377 Å, b = 4.2377 Å, c = 7.3093 Å, α = 90.00°, β = 90.00° and γ = 120.00°. The inequivalent atoms are Ti at (0.0000, 0.0000, 0.0000), Be at (0.0000, 0.0000, 0.3463), Be at (0.0000, 0.5000, 0.2403), Be at (0.3333, 0.6667, 0.0000) and Be at (0.3333, 0.6667, 0.5000).

---

Version C
DFT (GGA-PBE) results for a relaxed TiBe12 crystal.

It has space group Fm-3m (No. 225), with a = 8.650 Å, b = 8.650 Å, c = 8.650 Å, α = 90.00°, β = 90.00° and γ = 90.00°. The inequivalent atoms are Ti at (0.000, 0.000, 0.000) and Be at (0.000, 0.168, 0.332).

---

Winner for stability: version A

---

Version A
DFT (GGA-PBE) results for a relaxed Ti3BeTl crystal.

It has space group Pm-3m (No. 221), with a = 5.040 Å, b = 5.040 Å, c = 5.040 Å, α = 90.00°, β = 90.00° and γ = 90.00°. The inequivalent atoms are Ti at (0.000, 0.000, 0.500), Be at (0.500, 0.500, 0.500) and Tl at (0.000, 0.000, 0.000).

---

Version B
DFT (GGA-PBE) results for a relaxed Ti3BeTl crystal.

It has space group Pm-3m (No. 221), with a = 4.446 Å, b = 4.446 Å, c = 4.446 Å, α = 90.00°, β = 90.00° and γ = 90.00°. The inequivalent atoms are Ti at (0.000, 0.000, 0.500), Be at (0.000, 0.000, 0.000) and Tl at (0.500, 0.500, 0.500).

---

Winner for stability: version B